Entry 1:
# TbPuN PBE-GGA relaxed
data_TbPuN
_symmetry_space_group_name_H-M 'I 4 m m'
_symmetry_Int_Tables_number 107
_symmetry_space_group_name_Hall 'I 4 -2'
_cell_length_a 4.487
_cell_length_b 4.487
_cell_length_c 7.525
_cell_angle_alpha 90.00
_cell_angle_beta 90.00
_cell_angle_gamma 90.00
loop_
_atom_site_label
_atom_site_type_symbol
_atom_site_fract_x
_atom_site_fract_y
_atom_site_fract_z
Tb1 Tb 0.000 0.000 0.000
Pu1 Pu 0.000 0.000 0.446
N1 N 0.000 0.000 0.716
# Magnetic moment: 12.575 Bohr magnetons per cell
# Raw total energy: -0.648 Ry/atom
# Energy relative to the elements, uncorrected: 0.28 eV per atom

---

Entry 2:
# CrBr PBE-GGA relaxed
data_CrBr
_symmetry_space_group_name_H-M 'F d d d'
_symmetry_Int_Tables_number 70
_cell_length_a 8.628
_cell_length_b 8.736
_cell_length_c 10.009
_cell_angle_alpha 90.00
_cell_angle_beta 90.00
_cell_angle_gamma 90.00
loop_
_symmetry_equiv_pos_as_xyz
'x,y,z'
'-x,-y,-z'
'-x+1/4,-y+1/4,z'
'x+1/4,y+1/4,-z'
'x,-y+1/4,-z+1/4'
'-x,y+1/4,z+1/4'
'-x+1/4,y,-z+1/4'
'x+1/4,-y,z+1/4'
'x,y+1/2,z+1/2'
'-x,-y+1/2,-z+1/2'
'-x+1/4,-y+3/4,z+1/2'
'x+1/4,y+3/4,-z+1/2'
'x,-y+3/4,-z+3/4'
'-x,y+3/4,z+3/4'
'-x+1/4,y+1/2,-z+3/4'
'x+1/4,-y+1/2,z+3/4'
'x+1/2,y,z+1/2'
'-x+1/2,-y,-z+1/2'
'-x+3/4,-y+1/4,z+1/2'
'x+3/4,y+1/4,-z+1/2'
'x+1/2,-y+1/4,-z+3/4'
'-x+1/2,y+1/4,z+3/4'
'-x+3/4,y,-z+3/4'
'x+3/4,-y,z+3/4'
'x+1/2,y+1/2,z'
'-x+1/2,-y+1/2,-z'
'-x+3/4,-y+3/4,z'
'x+3/4,y+3/4,-z'
'x+1/2,-y+3/4,-z+1/4'
'-x+1/2,y+3/4,z+1/4'
'-x+3/4,y+1/2,-z+1/4'
'x+3/4,-y+1/2,z+1/4'
loop_
_atom_site_label
_atom_site_type_symbol
_atom_site_fract_x
_atom_site_fract_y
_atom_site_fract_z
Cr1 Cr 0.125 0.125 0.036
Br1 Br 0.125 0.343 0.625
# Magnetic moment: 0.014 Bohr magnetons per cell
# Raw total energy: -0.392 Ry/atom
# Energy relative to the elements, uncorrected: 0.32 eV per atom

---

Entry 3:
# DyNiSn PBE-GGA relaxed
data_DyNiSn
_symmetry_space_group_name_H-M 'I 4 m m'
_symmetry_Int_Tables_number 107
_symmetry_space_group_name_Hall 'I 4 -2'
_cell_length_a 3.322
_cell_length_b 3.322
_cell_length_c 11.096
_cell_angle_alpha 90.00
_cell_angle_beta 90.00
_cell_angle_gamma 90.00
loop_
_atom_site_label
_atom_site_type_symbol
_atom_site_fract_x
_atom_site_fract_y
_atom_site_fract_z
Dy1 Dy 0.000 0.000 0.000
Ni1 Ni 0.000 0.000 0.338
Sn1 Sn 0.000 0.000 0.712
# Formation energy: -0.38 eV/atom
# Magnetic moment: 0.000 Bohr magnetons per cell
# Raw total energy: -0.380 Ry/atom